# ZrSi2F, relaxed, DFT PBE
# Crystal system ... cubic
# Energy relative to the lowest polymorph listed for this composition ... 0.000 eV/atom
# Formation energy without anion corrections ... -0.7 eV per formula unit
data_ZrSi2F
_symmetry_space_group_name_H-M 'F m -3 m'
_symmetry_Int_Tables_number 225
_symmetry_space_group_name_Hall '-F 4 2 3'
_cell_length_a 6.4463
_cell_length_b 6.4463
_cell_length_c 6.4463
_cell_angle_alpha 90.00
_cell_angle_beta 90.00
_cell_angle_gamma 90.00
loop_
_atom_site_label
_atom_site_fract_x
_atom_site_fract_y
_atom_site_fract_z
Zr1 0.0000 0.0000 0.0000
Si1 0.2500 0.2500 0.2500
F1 0.0000 0.0000 0.5000


# SmF2, relaxed, DFT PBE
# Crystal system ... cubic
# Formation energy without anion corrections ... -10.0 eV per formula unit
data_SmF2
_symmetry_space_group_name_H-M 'F m -3 m'
_symmetry_Int_Tables_number 225
_symmetry_space_group_name_Hall '-F 4 2 3'
_cell_length_a 5.7255
_cell_length_b 5.7255
_cell_length_c 5.7255
_cell_angle_alpha 90.00
_cell_angle_beta 90.00
_cell_angle_gamma 90.00
loop_
_atom_site_label
_atom_site_fract_x
_atom_site_fract_y
_atom_site_fract_z
Sm1 0.0000 0.0000 0.0000
F1 0.2500 0.2500 0.2500


# Sm3F, relaxed, DFT PBE
# Crystal system ... orthorhombic
# Formation energy without anion corrections ... -3.8 eV per formula unit
data_Sm3F
_symmetry_space_group_name_H-M 'I m m 2'
_symmetry_Int_Tables_number 44
_symmetry_space_group_name_Hall 'I 2 -2'
_cell_length_a 3.3985
_cell_length_b 10.3283
_cell_length_c 6.0813
_cell_angle_alpha 90.00
_cell_angle_beta 90.00
_cell_angle_gamma 90.00
loop_
_atom_site_label
_atom_site_fract_x
_atom_site_fract_y
_atom_site_fract_z
Sm1 0.0000 0.0000 0.0000
Sm2 0.0000 0.1780 0.5174
F1 0.0000 0.5000 0.8287